# 1
## CaErZn2 (PBE)

Data for CaErZn2 after structural relaxation.

a = 3.620 Å, b = 3.620 Å, c = 7.163 Å
α = 90.00°, β = 90.00°, γ = 90.00°
Space group P4/mmm (No. 123)
Inequivalent atoms, fractional coordinates:
Ca 0.000 0.000 0.000 [1 per cell]
Er 0.000 0.000 0.500 [1 per cell]
Zn 0.500 0.500 0.273 [2 per cell]

## Properties
Formation energy from the elements, eV per atom: -0.300
Total magnetic moment, μB/f.u.: 0.0



# 2
## Ir3Os (PBE)

Data for Ir3Os after structural relaxation.

a = 7.448 Å, b = 7.415 Å, c = 4.531 Å
α = 90.00°, β = 90.00°, γ = 90.00°
Space group Cmcm (No. 63)
Inequivalent atoms, fractional coordinates:
Ir 0.000 0.084 0.250 [4 per cell]
Ir 0.170 0.245 0.750 [8 per cell]
Os 0.000 0.423 0.250 [4 per cell]

## Properties
Formation energy from the elements, eV per atom: 0.364
Total magnetic moment, μB/f.u.: 0.0



# 3
## TbTm14Mg (PBE)

Data for TbTm14Mg after structural relaxation.

a = 11.242 Å, b = 6.988 Å, c = 12.116 Å
α = 90.00°, β = 90.00°, γ = 90.00°
Space group Amm2 (No. 38)
Inequivalent atoms, fractional coordinates:
Tb 0.000 0.000 0.000 [2 per cell]
Tm 0.000 0.247 0.754 [4 per cell]
Tm 0.248 0.000 0.337 [4 per cell]
Tm 0.249 0.249 0.088 [8 per cell]
Tm 0.253 0.000 0.837 [4 per cell]
Tm 0.500 0.000 0.170 [2 per cell]
Tm 0.500 0.000 0.669 [2 per cell]
Tm 0.500 0.248 0.421 [4 per cell]
Mg 0.000 0.000 0.503 [2 per cell]

## Properties
Formation energy from the elements, eV per atom: 0.016
Total magnetic moment, μB/f.u.: 0.0



# 4
## NbCuAs2 (PBE)

Data for NbCuAs2 after structural relaxation.

a = 5.733 Å, b = 5.733 Å, c = 11.215 Å
α = 90.00°, β = 90.00°, γ = 90.00°
Space group I-42d (No. 122)
Inequivalent atoms, fractional coordinates:
Nb 0.000 0.000 0.000 [4 per cell]
Cu 0.000 0.000 0.500 [4 per cell]
As 0.238 0.250 0.625 [8 per cell]

## Properties
Formation energy from the elements, eV per atom: 0.116
Total magnetic moment, μB/f.u.: 0.0



# 5
## La3FeB2N6 (PBE)

Data for La3FeB2N6 after structural relaxation.

a = 5.4434 Å, b = 5.4434 Å, c = 6.2753 Å
α = 90.00°, β = 90.00°, γ = 120.00°
Space group P-3m1 (No. 164)
Inequivalent atoms, fractional coordinates:
La 0.0000 0.0000 0.0000 [1 per cell]
La 0.3333 0.6667 0.6731 [2 per cell]
Fe 0.0000 0.0000 0.5000 [1 per cell]
B 0.3333 0.6667 0.2680 [2 per cell]
N 0.1785 0.3571 0.2907 [6 per cell]

## Properties
Raw formation energy, meV per atom: -918.4
Total magnetic moment, μB/f.u.: 4.1



# 6
## AlAg2Se (PBE)

Data for AlAg2Se after structural relaxation.

a = 2.909 Å, b = 4.383 Å, c = 6.274 Å
α = 90.00°, β = 102.25°, γ = 90.00°
Space group P2/m (No. 10)
Inequivalent atoms, fractional coordinates:
Al 0.000 0.000 0.000 [1 per cell]
Ag 0.204 0.500 0.792 [2 per cell]
Se 0.000 0.000 0.500 [1 per cell]

## Properties
Energy relative to the lowest polymorph listed for this composition, meV per atom: 98
Raw formation energy, meV per atom: 34.7
Total magnetic moment, μB/f.u.: 0.0



# 7
## Ba3InP (PBE)

Data for Ba3InP after structural relaxation.

a = 6.222 Å, b = 6.222 Å, c = 6.222 Å
α = 90.00°, β = 90.00°, γ = 90.00°
Space group Pm-3m (No. 221)
Inequivalent atoms, fractional coordinates:
Ba 0.000 0.000 0.500 [3 per cell]
In 0.500 0.500 0.500 [1 per cell]
P 0.000 0.000 0.000 [1 per cell]

## Properties
Energy relative to the lowest polymorph listed for this composition, meV per atom: 121
Formation energy from the elements, eV per atom: -0.507
Total magnetic moment, μB/f.u.: 1.8



# 8
## LiInPb (PBE)

Data for LiInPb after structural relaxation.

a = 3.322 Å, b = 4.845 Å, c = 9.383 Å
α = 90.00°, β = 99.81°, γ = 90.00°
Space group P2_1/m (No. 11)
Inequivalent atoms, fractional coordinates:
Li 0.056 0.250 0.113 [2 per cell]
In 0.426 0.250 0.846 [2 per cell]
Pb 0.302 0.750 0.602 [2 per cell]

## Properties
Formation energy from the elements, eV per atom: -0.125
Total magnetic moment, μB/f.u.: 0.0



# 9
## PrSm5DyHo2 (PBE)

Data for PrSm5DyHo2 after structural relaxation.

a = 5.649 Å, b = 20.220 Å, c = 10.729 Å
α = 90.00°, β = 90.00°, γ = 90.00°
Space group Cmc2_1 (No. 36)
Inequivalent atoms, fractional coordinates:
Pr 0.000 0.203 0.000 [4 per cell]
Sm 0.000 0.017 0.015 [4 per cell]
Sm 0.000 0.282 0.298 [4 per cell]
Sm 0.000 0.298 0.695 [4 per cell]
Sm 0.000 0.394 0.016 [4 per cell]
Sm 0.000 0.479 0.731 [4 per cell]
Dy 0.000 0.412 0.446 [4 per cell]
Ho 0.000 0.110 0.728 [4 per cell]
Ho 0.000 0.116 0.310 [4 per cell]

## Properties
Formation energy from the elements, eV per atom: 0.149
Total magnetic moment, μB/f.u.: 0.0



# 10
## TlCdPd2 (PBE)

Data for TlCdPd2 after structural relaxation.

a = 3.410 Å, b = 3.410 Å, c = 6.336 Å
α = 90.00°, β = 90.00°, γ = 90.00°
Space group P4/mmm (No. 123)
Inequivalent atoms, fractional coordinates:
Tl 0.000 0.000 0.000 [1 per cell]
Cd 0.000 0.000 0.500 [1 per cell]
Pd 0.500 0.500 0.255 [2 per cell]

## Properties
Formation energy from the elements, eV per atom: -0.245
Total magnetic moment, μB/f.u.: 0.0



# 11
## Sr2NdGeSe5 (PBE)

Data for Sr2NdGeSe5 after structural relaxation.

a = 4.391 Å, b = 18.850 Å, c = 12.556 Å
α = 90.00°, β = 90.00°, γ = 90.00°
Space group Cmc2_1 (No. 36)
Inequivalent atoms, fractional coordinates:
Sr 0.000 0.116 0.000 [4 per cell]
Sr 0.000 0.119 0.640 [4 per cell]
Nd 0.000 0.209 0.342 [4 per cell]
Ge 0.000 0.445 0.760 [4 per cell]
Se 0.000 0.044 0.355 [4 per cell]
Se 0.000 0.293 0.998 [4 per cell]
Se 0.000 0.321 0.681 [4 per cell]
Se 0.000 0.360 0.322 [4 per cell]
Se 0.000 0.499 0.085 [4 per cell]

## Properties
Raw formation energy, meV per atom: -1488.5
Total magnetic moment, μB/f.u.: 0.0



# 12
## K2SbTe (PBE)

Data for K2SbTe after structural relaxation.

a = 5.077 Å, b = 5.077 Å, c = 11.054 Å
α = 90.00°, β = 90.00°, γ = 90.00°
Space group I-4m2 (No. 119)
Inequivalent atoms, fractional coordinates:
K 0.000 0.000 0.000 [2 per cell]
K 0.000 0.500 0.250 [2 per cell]
Sb 0.000 0.500 0.750 [2 per cell]
Te 0.000 0.000 0.500 [2 per cell]

## Properties
Energy relative to the lowest polymorph listed for this composition, meV per atom: 231
Raw formation energy, meV per atom: -310.6
Total magnetic moment, μB/f.u.: 0.0



# 13
## Y2MnMo (PBE)

Data for Y2MnMo after structural relaxation.

a = 7.737 Å, b = 7.737 Å, c = 6.101 Å
α = 90.00°, β = 90.00°, γ = 90.00°
Space group I-42d (No. 122)
Inequivalent atoms, fractional coordinates:
Y 0.246 0.250 0.125 [8 per cell]
Mn 0.000 0.000 0.000 [4 per cell]
Mo 0.000 0.000 0.500 [4 per cell]

## Properties
Energy relative to the lowest polymorph listed for this composition, meV per atom: 659
Formation energy from the elements, eV per atom: 0.828
Total magnetic moment, μB/f.u.: 3.9



# 14
## NaHg2As (PBE)

Data for NaHg2As after structural relaxation.

a = 4.534 Å, b = 4.534 Å, c = 19.888 Å
α = 90.00°, β = 90.00°, γ = 90.00°
Space group I-42d (No. 122)
Inequivalent atoms, fractional coordinates:
Na 0.000 0.000 0.000 [4 per cell]
Hg 0.231 0.250 0.625 [8 per cell]
As 0.000 0.000 0.500 [4 per cell]

## Properties
Formation energy from the elements, eV per atom: -0.007
Total magnetic moment, μB/f.u.: 0.0



# 15
## TiP2SeCl (PBE)

Data for TiP2SeCl after structural relaxation.

a = 4.811 Å, b = 4.811 Å, c = 4.724 Å
α = 90.00°, β = 90.00°, γ = 90.00°
Space group P4/mmm (No. 123)
Inequivalent atoms, fractional coordinates:
Ti 0.000 0.000 0.000 [1 per cell]
P 0.000 0.500 0.500 [2 per cell]
Se 0.500 0.500 0.500 [1 per cell]
Cl 0.500 0.500 0.000 [1 per cell]

## Properties
Energy relative to the lowest polymorph listed for this composition, meV per atom: 707
Raw formation energy, meV per atom: 824.7
Total magnetic moment, μB/f.u.: 1.0



# 16
## MoW2Se (PBE)

Data for MoW2Se after structural relaxation.

a = 3.745 Å, b = 3.745 Å, c = 9.250 Å
α = 90.00°, β = 90.00°, γ = 90.00°
Space group I4/mmm (No. 139)
Inequivalent atoms, fractional coordinates:
Mo 0.000 0.000 0.000 [2 per cell]
W 0.000 0.500 0.250 [4 per cell]
Se 0.000 0.000 0.500 [2 per cell]

## Properties
Raw formation energy, meV per atom: 622.9
Total magnetic moment, μB/f.u.: 0.0



# 17
## Ce2MgMoN5 (PBE)

Data for Ce2MgMoN5 after structural relaxation.

a = 3.435 Å, b = 13.402 Å, c = 10.012 Å
α = 90.00°, β = 90.00°, γ = 90.00°
Space group Cmc2_1 (No. 36)
Inequivalent atoms, fractional coordinates:
Ce 0.000 0.117 0.000 [4 per cell]
Ce 0.000 0.150 0.599 [4 per cell]
Mg 0.000 0.216 0.311 [4 per cell]
Mo 0.000 0.474 0.772 [4 per cell]
N 0.000 0.052 0.356 [4 per cell]
N 0.000 0.284 0.973 [4 per cell]
N 0.000 0.319 0.674 [4 per cell]
N 0.000 0.378 0.319 [4 per cell]
N 0.000 0.489 0.091 [4 per cell]

## Properties
Raw formation energy, meV per atom: -983.9
Total magnetic moment, μB/f.u.: 0.3



# 18
## LiPIN2 (PBE)

Data for LiPIN2 after structural relaxation.

a = 3.491 Å, b = 3.491 Å, c = 7.296 Å
α = 90.00°, β = 90.00°, γ = 90.00°
Space group P4/mmm (No. 123)
Inequivalent atoms, fractional coordinates:
Li 0.000 0.000 0.000 [1 per cell]
P 0.500 0.500 0.500 [1 per cell]
I 0.500 0.500 0.000 [1 per cell]
N 0.000 0.500 0.500 [2 per cell]

## Properties
Energy relative to the lowest polymorph listed for this composition, meV per atom: 0
Raw formation energy, meV per atom: 496.2
Total magnetic moment, μB/f.u.: 0.6



# 19
## RbNpTa2S8 (PBE)

Data for RbNpTa2S8 after structural relaxation.

a = 6.5558 Å, b = 6.5558 Å, c = 28.8375 Å
α = 90.00°, β = 90.00°, γ = 120.00°
Space group R-3 (No. 148, hexagonal axes)
Inequivalent atoms, fractional coordinates:
Rb 0.0000 0.0000 0.0000 [3 per cell]
Np 0.0000 0.0000 0.5000 [3 per cell]
Ta 0.0000 0.0000 0.2419 [6 per cell]
S 0.0000 0.0000 0.3182 [6 per cell]
S 0.0044 0.3264 0.5538 [18 per cell]

## Properties
Raw formation energy, meV per atom: -900.6
Total magnetic moment, μB/f.u.: 2.0



# 20
## Na2FeCu (PBE)

Data for Na2FeCu after structural relaxation.

a = 7.959 Å, b = 7.959 Å, c = 5.171 Å
α = 90.00°, β = 90.00°, γ = 90.00°
Space group I-42d (No. 122)
Inequivalent atoms, fractional coordinates:
Na 0.228 0.250 0.125 [8 per cell]
Fe 0.000 0.000 0.500 [4 per cell]
Cu 0.000 0.000 0.000 [4 per cell]

## Properties
Energy relative to the lowest polymorph listed for this composition, meV per atom: 0
Formation energy from the elements, eV per atom: 0.842
Total magnetic moment, μB/f.u.: 3.0